Record 1
# KTmMo2O8 PBE+U optimized geometry
# DFT total energy	-341.8	eV for the cell shown
# N(E_F)	0.000	states/eV/f.u.
data_KTmMo2O8
_chemical_formula_sum 'K4 Tm4 Mo8 O32'
_space_group_name_H-M_alt 'C 1 2/c 1'
_space_group_IT_number 15
_space_group_name_Hall '-C 2yc'
_cell_length_a 10.7770
_cell_length_b 10.3102
_cell_length_c 7.7365
_cell_angle_alpha 90.00
_cell_angle_beta 131.27
_cell_angle_gamma 90.00
loop_
_atom_site_label
_atom_site_fract_x
_atom_site_fract_y
_atom_site_fract_z
_atom_site_occupancy
K1 0.0000 0.1976 0.2500 1
Tm1 0.0000 0.2284 0.7500 1
Mo1 0.1966 0.4971 0.2395 1
O1 0.0219 0.3902 0.9641 1
O2 0.1273 0.0832 0.6946 1
O3 0.1920 0.4172 0.4398 1
O4 0.2209 0.1558 0.1165 1


Record 2
# K4Tm3MoO8 PBE+U optimized geometry
# DFT total energy	-314.6	eV for the cell shown
# N(E_F)	0.000	states/eV/f.u.
data_K4Tm3MoO8
_chemical_formula_sum 'K12 Tm9 Mo3 O24'
_space_group_name_H-M_alt 'R -3 m'
_space_group_IT_number 166
_space_group_name_Hall '-R 3 2"'
_cell_length_a 6.7813
_cell_length_b 6.7813
_cell_length_c 18.6290
_cell_angle_alpha 90.00
_cell_angle_beta 90.00
_cell_angle_gamma 120.00
loop_
_atom_site_label
_atom_site_fract_x
_atom_site_fract_y
_atom_site_fract_z
_atom_site_occupancy
K1 0.0000 0.0000 0.0000 1
K2 0.0000 0.5000 0.0000 1
Tm1 0.0000 0.5000 0.5000 1
Mo1 0.0000 0.0000 0.5000 1
O1 0.0000 0.0000 0.2278 1
O2 0.0031 0.5016 0.2278 1


Record 3
# KTmMoO5 PBE+U optimized geometry
# DFT total energy	-223.7	eV for the cell shown
data_KTmMoO5
_chemical_formula_sum 'K4 Tm4 Mo4 O20'
_space_group_name_H-M_alt 'C 1 2/c 1'
_space_group_IT_number 15
_space_group_name_Hall '-C 2yc'
_cell_length_a 7.6792
_cell_length_b 10.0749
_cell_length_c 8.0362
_cell_angle_alpha 90.00
_cell_angle_beta 114.24
_cell_angle_gamma 90.00
loop_
_atom_site_label
_atom_site_fract_x
_atom_site_fract_y
_atom_site_fract_z
_atom_site_occupancy
K1 0.0000 0.1827 0.2500 1
Tm1 0.0000 0.5000 0.0000 1
Mo1 0.0000 0.1821 0.7500 1
O1 0.0000 0.4351 0.2500 1
O2 0.0882 0.2859 0.6187 1
O3 0.1857 0.0761 0.9012 1


Record 4
# K2TmMo3O12 PBE+U optimized geometry
# DFT total energy	-361.7	eV for the cell shown
# N(E_F)	10.819	states/eV/f.u.
data_K2TmMo3O12
_chemical_formula_sum 'K6 Tm3 Mo9 O36'
_space_group_name_H-M_alt 'R -3 m'
_space_group_IT_number 166
_space_group_name_Hall '-R 3 2"'
_cell_length_a 7.4965
_cell_length_b 7.4965
_cell_length_c 18.5859
_cell_angle_alpha 90.00
_cell_angle_beta 90.00
_cell_angle_gamma 120.00
loop_
_atom_site_label
_atom_site_fract_x
_atom_site_fract_y
_atom_site_fract_z
_atom_site_occupancy
K1 0.0000 0.0000 0.1565 1
Tm1 0.0000 0.0000 0.5000 1
Mo1 0.0000 0.5000 0.0000 1
O1 0.0487 0.5244 0.1004 1
O2 0.0913 0.5457 0.3462 1


Record 5
# K2TmMoO4 PBE+U optimized geometry
# DFT total energy	-51.4	eV for the cell shown
# N(E_F)	0.000	states/eV/f.u.
data_K2TmMoO4
_chemical_formula_sum 'K2 Tm1 Mo1 O4'
_space_group_name_H-M_alt 'P 1 2/m 1'
_space_group_IT_number 10
_space_group_name_Hall '-P 2y'
_cell_length_a 5.7877
_cell_length_b 3.3908
_cell_length_c 6.4731
_cell_angle_alpha 90.00
_cell_angle_beta 107.65
_cell_angle_gamma 90.00
loop_
_atom_site_label
_atom_site_fract_x
_atom_site_fract_y
_atom_site_fract_z
_atom_site_occupancy
K1 0.0000 0.0000 0.0000 1
K2 0.5000 0.5000 0.0000 1
Tm1 0.0000 0.5000 0.5000 1
Mo1 0.5000 0.0000 0.5000 1
O1 0.2307 0.0000 0.6848 1
O2 0.2784 0.5000 0.3185 1


Record 6
# K4U3MoO12 PBE+U optimized geometry
# DFT total energy	-316.5	eV for the cell shown
# N(E_F)	8.193	states/eV/f.u.
data_K4U3MoO12
_chemical_formula_sum 'K8 U6 Mo2 O24'
_space_group_name_H-M_alt 'I m -3 m'
_space_group_IT_number 229
_space_group_name_Hall '-I 4 2 3'
_cell_length_a 8.5395
_cell_length_b 8.5395
_cell_length_c 8.5395
_cell_angle_alpha 90.00
_cell_angle_beta 90.00
_cell_angle_gamma 90.00
loop_
_atom_site_label
_atom_site_fract_x
_atom_site_fract_y
_atom_site_fract_z
_atom_site_occupancy
K1 0.2500 0.2500 0.2500 1
U1 0.0000 0.0000 0.5000 1
Mo1 0.0000 0.0000 0.0000 1
O1 0.0000 0.0000 0.2589 1
O2 0.0000 0.2500 0.5000 1


Record 7
# K6U2Mo4O21 PBE+U optimized geometry
# DFT total energy	-233.4	eV for the cell shown
# N(E_F)	0.000	states/eV/f.u.
data_K6U2Mo4O21
_chemical_formula_sum 'K6 U2 Mo4 O21'
_space_group_name_H-M_alt 'P -1'
_space_group_IT_number 2
_space_group_name_Hall '-P 1'
_cell_length_a 7.9171
_cell_length_b 8.1435
_cell_length_c 10.6718
_cell_angle_alpha 70.31
_cell_angle_beta 84.87
_cell_angle_gamma 80.86
loop_
_atom_site_label
_atom_site_fract_x
_atom_site_fract_y
_atom_site_fract_z
_atom_site_occupancy
K1 0.0714 0.1126 0.2194 1
K2 0.2893 0.6597 0.4808 1
K3 0.4051 0.2220 0.8391 1
U1 0.4825 0.7181 0.8170 1
Mo1 0.1508 0.6546 0.1113 1
Mo2 0.2597 0.1404 0.5303 1
O1 0.0383 0.2091 0.5042 1
O2 0.0741 0.3034 0.8781 1
O3 0.2109 0.7420 0.9343 1
O4 0.2228 0.4178 0.1817 1
O5 0.2358 0.7696 0.2021 1
O6 0.2781 0.9384 0.6728 1
O7 0.3548 0.3033 0.5661 1
O8 0.3606 0.1006 0.3808 1
O9 0.4271 0.5761 0.7275 1
O10 0.4527 0.1289 0.1068 1
O11 0.5000 0.5000 0.0000 1


Record 8
# K2UMoO6 PBE+U optimized geometry
# DFT total energy	-148.3	eV for the cell shown
data_K2UMoO6
_chemical_formula_sum 'K4 U2 Mo2 O12'
_space_group_name_H-M_alt 'I 4/m m m'
_space_group_IT_number 139
_space_group_name_Hall '-I 4 2'
_cell_length_a 5.9009
_cell_length_b 5.9009
_cell_length_c 8.3840
_cell_angle_alpha 90.00
_cell_angle_beta 90.00
_cell_angle_gamma 90.00
loop_
_atom_site_label
_atom_site_fract_x
_atom_site_fract_y
_atom_site_fract_z
_atom_site_occupancy
K1 0.0000 0.5000 0.2500 1
U1 0.0000 0.0000 0.0000 1
Mo1 0.0000 0.0000 0.5000 1
O1 0.0000 0.0000 0.2443 1
O2 0.2449 0.2449 0.5000 1


Record 9
# KVMoO6 PBE+U optimized geometry
# DFT total energy	-246.1	eV for the cell shown
# N(E_F)	0.000	states/eV/f.u.
data_KVMoO6
_chemical_formula_sum 'K4 V4 Mo4 O24'
_space_group_name_H-M_alt 'P n m a'
_space_group_IT_number 62
_space_group_name_Hall '-P 2ac 2n'
_cell_length_a 10.6710
_cell_length_b 3.7637
_cell_length_c 13.6467
_cell_angle_alpha 90.00
_cell_angle_beta 90.00
_cell_angle_gamma 90.00
loop_
_atom_site_label
_atom_site_fract_x
_atom_site_fract_y
_atom_site_fract_z
_atom_site_occupancy
K1 0.1088 0.2500 0.1409 1
V1 0.0156 0.2500 0.6069 1
Mo1 0.2344 0.2500 0.4251 1
O1 0.0067 0.7500 0.2738 1
O2 0.0253 0.2500 0.4262 1
O3 0.1147 0.7500 0.9762 1
O4 0.1736 0.2500 0.5883 1
O5 0.1831 0.7500 0.4369 1
O6 0.2386 0.7500 0.8000 1


Record 10
# KVMoO6 PBE+U optimized geometry
# DFT total energy	-61.5	eV for the cell shown
# N(E_F)	0.000	states/eV/f.u.
data_KVMoO6
_chemical_formula_sum 'K1 V1 Mo1 O6'
_space_group_name_H-M_alt 'P 3'
_space_group_IT_number 143
_space_group_name_Hall 'P 3'
_cell_length_a 5.1735
_cell_length_b 5.1735
_cell_length_c 6.0111
_cell_angle_alpha 90.00
_cell_angle_beta 90.00
_cell_angle_gamma 120.00
loop_
_atom_site_label
_atom_site_fract_x
_atom_site_fract_y
_atom_site_fract_z
_atom_site_occupancy
K1 0.0000 0.0000 0.0000 1
V1 0.3333 0.6667 0.5597 1
Mo1 0.6667 0.3333 0.4604 1
O1 0.0015 0.3982 0.6917 1
O2 0.0073 0.6176 0.3255 1


Record 11
# K2V2MoO7 PBE+U optimized geometry
# DFT total energy	-243.8	eV for the cell shown
# N(E_F)	5.367	states/eV/f.u.
data_K2V2MoO7
_chemical_formula_sum 'K6 V6 Mo3 O21'
_space_group_name_H-M_alt 'R -3 m'
_space_group_IT_number 166
_space_group_name_Hall '-R 3 2"'
_cell_length_a 5.8887
_cell_length_b 5.8887
_cell_length_c 21.7694
_cell_angle_alpha 90.00
_cell_angle_beta 90.00
_cell_angle_gamma 120.00
loop_
_atom_site_label
_atom_site_fract_x
_atom_site_fract_y
_atom_site_fract_z
_atom_site_occupancy
K1 0.0000 0.0000 0.2387 1
V1 0.0000 0.0000 0.0833 1
Mo1 0.0000 0.0000 0.5000 1
O1 0.0000 0.0000 0.0000 1
O2 0.0072 0.5036 0.7772 1


Record 12
# KVMo2O PBE+U optimized geometry
# DFT total energy	-23.8	eV for the cell shown
# N(E_F)	2.969	states/eV/f.u.
data_KVMo2O
_chemical_formula_sum 'K1 V1 Mo2 O1'
_space_group_name_H-M_alt 'P 4/m m m'
_space_group_IT_number 123
_space_group_name_Hall '-P 4 2'
_cell_length_a 6.0985
_cell_length_b 6.0985
_cell_length_c 3.7031
_cell_angle_alpha 90.00
_cell_angle_beta 90.00
_cell_angle_gamma 90.00
loop_
_atom_site_label
_atom_site_fract_x
_atom_site_fract_y
_atom_site_fract_z
_atom_site_occupancy
K1 0.0000 0.0000 0.0000 1
V1 0.5000 0.5000 0.5000 1
Mo1 0.0000 0.5000 0.5000 1
O1 0.5000 0.5000 0.0000 1


Q: Number 8 is which compound?
A: K2UMoO6


Q: Which formula does entry 6 have?
A: K4U3MoO12


Q: Look up the DFT total energy of the third one.
A: -223.7 eV for the cell shown